Entry 1:
# La2YErTl2

Crystalline La2YErTl2 at its relaxed geometry (PBE, the Alexandria database).

Cell: 5.0889 7.0000 10.2691 Å, 90.00 90.00 90.00°
Fractional coordinates of all 12 atoms:
La: 0.0000 0.3113 0.1770
Tl: 0.5000 0.7225 0.6086
Er: 0.5000 0.1666 0.6934
Tl: 0.0000 0.2972 0.8488
La: 0.0000 0.8113 0.8230
Tl: 0.0000 0.7972 0.1512
Y: 0.0000 0.4588 0.5427
Er: 0.5000 0.6666 0.3066
Y: 0.0000 0.9588 0.4573
Tl: 0.5000 0.2225 0.3914
La: 0.5000 0.5892 0.9378
La: 0.5000 0.0892 0.0622

## Properties
* space-group type: No. 26
* N(E_F): 11.521 states/eV/cell
* energy: -4.565 eV/atom
* formation enthalpy at 0 K: -296 meV per atom



Entry 2:
# HfThFe10

Crystalline HfThFe10 at its relaxed geometry (PBE, the Alexandria database).

Cell: 3.9853 4.9421 8.5794 Å, 90.00 90.00 90.00°
Fractional coordinates of all 12 atoms:
Fe: 0.0000 0.5000 0.1774
Fe: 0.5000 0.0000 0.5000
Fe: 0.0000 0.5000 0.8226
Hf: 0.0000 0.5000 0.5000
Fe: 0.5000 0.7453 0.2604
Fe: 0.5000 0.2547 0.2604
Th: 0.0000 0.0000 0.0000
Fe: 0.0000 0.0000 0.6586
Fe: 0.5000 0.2547 0.7396
Fe: 0.5000 0.5000 0.0000
Fe: 0.5000 0.7453 0.7396
Fe: 0.0000 0.0000 0.3414

## Properties
* space-group type: No. 47
* N(E_F): 12.047 states/eV/cell
* energy: -8.563 eV/atom
* formation enthalpy at 0 K: -63 meV per atom



Entry 3:
# CoIrPt2

Crystalline CoIrPt2 at its relaxed geometry (PBE, the Alexandria database).

Cell: 6.0813 4.7390 2.7335 Å, 89.95 63.37 120.82°
Fractional coordinates of all 4 atoms:
Pt: 0.0000 0.0000 0.0000
Co: 0.0000 0.5000 0.5000
Ir: 0.5000 0.5000 0.0000
Pt: 0.5000 0.0000 0.5000

## Properties
* energy above the lowest structure with this stoichiometry: 0.0058 eV/atom
* space-group type: No. 65
* N(E_F): 4.888 states/eV/cell
* energy: -7.029 eV/atom
* formation enthalpy at 0 K: -17 meV per atom



Entry 4:
# Tl4PbAu

Crystalline Tl4PbAu at its relaxed geometry (PBE, the Alexandria database).

Cell: 5.0344 6.4170 11.4504 Å, 90.00 102.70 90.00°
Fractional coordinates of all 12 atoms:
Tl: 0.9350 0.4273 0.8701
Pb: 0.1334 0.4264 0.2667
Tl: 0.7346 0.5582 0.4693
Tl: 0.3253 0.5667 0.6507
Pb: 0.8666 0.9264 0.7333
Tl: 0.6747 0.0667 0.3493
Au: 0.3972 0.1788 0.7944
Tl: 0.5316 0.2760 0.0633
Tl: 0.4684 0.7760 0.9367
Tl: 0.2654 0.0582 0.5307
Tl: 0.0650 0.9273 0.1299
Au: 0.6028 0.6788 0.2056

## Properties
* energy above the lowest structure with this stoichiometry: 0.0158 eV/atom
* space-group type: No. 36
* N(E_F): 5.428 states/eV/cell
* energy: -2.726 eV/atom
* formation enthalpy at 0 K: 16 meV per atom



Entry 5:
# La2Pr12Ho5

Crystalline La2Pr12Ho5 at its relaxed geometry (PBE, the Alexandria database).

Cell: 10.1626 9.6235 8.1236 Å, 89.38 90.00 121.87°
Fractional coordinates of all 19 atoms:
Pr: 0.3787 0.2116 0.6119
La: 0.7827 0.0000 0.0000
Pr: 0.4486 0.8971 0.7143
Pr: 0.4194 0.3813 0.2095
Pr: 0.8329 0.2116 0.6119
Ho: 0.3520 0.7040 0.0841
Pr: 0.1630 0.3259 0.8754
Pr: 0.5806 0.6187 0.7905
Ho: 0.0000 0.0000 0.5000
Pr: 0.0381 0.6187 0.7905
Pr: 0.9619 0.3813 0.2095
Pr: 0.8370 0.6741 0.1246
Ho: 0.2482 0.4965 0.5091
Ho: 0.6480 0.2960 0.9159
Pr: 0.6213 0.7884 0.3881
Pr: 0.5514 0.1029 0.2857
Ho: 0.7518 0.5035 0.4909
Pr: 0.1671 0.7884 0.3881
La: 0.2173 0.0000 0.0000

## Properties
* energy above the lowest structure with this stoichiometry: 0.0000 eV/atom
* space-group type: No. 12
* N(E_F): 26.841 states/eV/cell
* energy: -4.621 eV/atom
* formation enthalpy at 0 K: 121 meV per atom



Entry 6:
# CuTc2Sb

Crystalline CuTc2Sb at its relaxed geometry (PBE, the Alexandria database).

Cell: 3.0870 4.5737 4.4599 Å, 90.00 90.00 90.00°
Fractional coordinates of all 4 atoms:
Tc: 0.0000 0.0000 0.0000
Cu: 0.5000 0.0000 0.5000
Tc: 0.5000 0.5000 0.0000
Sb: 0.0000 0.5000 0.5000

## Properties
* space-group type: No. 47
* N(E_F): 4.615 states/eV/cell
* energy: -6.797 eV/atom
* raw formation energy: 0.4402 eV per atom



Entry 7:
# Ti5ReGe5

Crystalline Ti5ReGe5 at its relaxed geometry (PBE, the Alexandria database).

Cell: 5.1117 6.1387 7.4416 Å, 108.44 90.00 114.60°
Fractional coordinates of all 11 atoms:
Ti: 0.6585 0.3170 0.8223
Ge: 0.8302 0.6603 0.1580
Ge: 0.1670 0.3341 0.3331
Re: 0.0000 0.0000 0.0000
Ge: 0.8330 0.6659 0.6669
Ti: 0.3415 0.6830 0.1777
Ge: 0.1698 0.3397 0.8420
Ti: 0.3260 0.6520 0.6675
Ti: 0.6740 0.3480 0.3325
Ge: 0.5000 0.0000 0.0000
Ti: 0.0000 0.0000 0.5000

## Properties
* space-group type: No. 12
* N(E_F): 9.877 states/eV/cell
* energy: -6.875 eV/atom
* formation enthalpy at 0 K: -56 meV per atom



Entry 8:
# RbNdTlSe3

Crystalline RbNdTlSe3 at its relaxed geometry (PBE, the Alexandria database).

Cell: 4.2949 9.0148 11.5334 Å, 107.11 90.00 90.00°
Fractional coordinates of all 12 atoms:
Se: 0.2500 0.0987 0.8081
Se: 0.2500 0.5754 0.8787
Se: 0.2500 0.6614 0.4112
Se: 0.7500 0.9013 0.1919
Rb: 0.2500 0.2363 0.2684
Se: 0.7500 0.4246 0.1213
Tl: 0.7500 0.8677 0.4228
Tl: 0.2500 0.1323 0.5772
Nd: 0.7500 0.3430 0.8573
Rb: 0.7500 0.7637 0.7316
Nd: 0.2500 0.6570 0.1427
Se: 0.7500 0.3386 0.5888

## Properties
* space-group type: No. 11
* N(E_F): 5.676 states/eV/cell
* energy: -4.254 eV/atom
* raw formation energy: -1.1612 eV per atom



Entry 9:
# La3Sm6Dy2Sc

Crystalline La3Sm6Dy2Sc at its relaxed geometry (PBE, the Alexandria database).

Cell: 6.2628 6.2628 11.9840 Å, 95.01 95.01 120.04°
Fractional coordinates of all 12 atoms:
Sc: 0.0000 0.0000 0.0000
La: 0.1665 0.8335 0.5000
Sm: 0.5901 0.9201 0.7589
Sm: 0.7500 0.7500 0.2413
Sm: 0.0799 0.4099 0.2411
Sm: 0.9201 0.5901 0.7589
La: 0.5000 0.5000 0.5000
La: 0.8335 0.1665 0.5000
Dy: 0.3335 0.6665 0.0000
Sm: 0.2500 0.2500 0.7587
Sm: 0.4099 0.0799 0.2411
Dy: 0.6665 0.3335 0.0000

## Properties
* space-group type: No. 12
* N(E_F): 18.845 states/eV/cell
* energy: -4.851 eV/atom
* formation enthalpy at 0 K: 35 meV per atom



Entry 10:
# Pr8Rh3CCl3

Crystalline Pr8Rh3CCl3 at its relaxed geometry (PBE, the Alexandria database).

Cell: 8.2155 8.2234 8.7606 Å, 118.00 89.96 120.00°
Fractional coordinates of all 15 atoms:
Cl: 0.5000 0.5000 0.0000
Pr: 0.2223 0.9745 0.6968
Cl: 0.0000 0.0000 0.0000
Rh: 0.5000 0.0000 0.5000
Cl: 0.0000 0.5000 0.0000
Pr: 0.7523 0.9747 0.6969
Pr: 0.7777 0.5557 0.3034
Pr: 0.2223 0.4443 0.6966
Pr: 0.2477 0.0253 0.3031
Pr: 0.7777 0.0255 0.3032
Rh: 0.0000 0.5000 0.5000
Pr: 0.7374 0.4750 0.7126
Rh: 0.5000 0.5000 0.5000
C: 0.0000 0.0000 0.5000
Pr: 0.2626 0.5250 0.2874

## Properties
* space-group type: No. 12
* N(E_F): 11.452 states/eV/cell
* energy: -5.881 eV/atom
* raw formation energy: -0.8772 eV per atom



Entry 11:
# PdRh3Au

Crystalline PdRh3Au at its relaxed geometry (PBE, the Alexandria database).

Cell: 4.7264 4.7264 4.7264 Å, 90.00 90.00 90.00°
Fractional coordinates of all 5 atoms:
Rh: 0.5000 0.0000 0.0000
Pd: 0.0000 0.0000 0.0000
Rh: 0.0000 0.5000 0.0000
Au: 0.5000 0.5000 0.5000
Rh: 0.0000 0.0000 0.5000

## Properties
* energy above the lowest structure with this stoichiometry: 0.0000 eV/atom
* space-group type: No. 221
* N(E_F): 5.158 states/eV/cell
* energy: -4.551 eV/atom
* formation enthalpy at 0 K: 1554 meV per atom



Entry 12:
# Re2NiRh

Crystalline Re2NiRh at its relaxed geometry (PBE, the Alexandria database).

Cell: 8.8403 8.8403 8.8403 Å, 17.69 17.69 17.69°
Fractional coordinates of all 4 atoms:
Rh: 0.2500 0.2500 0.2500
Re: 0.4976 0.4976 0.4976
Ni: 0.7500 0.7500 0.7500
Re: 0.0024 0.0024 0.0024

## Properties
* energy above the lowest structure with this stoichiometry: 0.1585 eV/atom
* space-group type: No. 166
* N(E_F): 3.763 states/eV/cell
* energy: -9.432 eV/atom
* formation enthalpy at 0 K: 75 meV per atom



Entry 13:
# Pm2Al3Ga

Crystalline Pm2Al3Ga at its relaxed geometry (PBE, the Alexandria database).

Cell: 5.8815 5.8815 8.7051 Å, 105.93 105.93 100.82°
Fractional coordinates of all 12 atoms:
Al: 0.8327 0.8327 0.6654
Pm: 0.7485 0.7485 0.0000
Ga: 0.3330 0.3330 0.6661
Pm: 0.2515 0.2515 0.0000
Al: 0.8332 0.3347 0.1679
Pm: 0.7500 0.2500 0.5000
Ga: 0.6670 0.6670 0.3339
Al: 0.3347 0.8332 0.1679
Al: 0.1668 0.6653 0.8321
Al: 0.1673 0.1673 0.3346
Pm: 0.2500 0.7500 0.5000
Al: 0.6653 0.1668 0.8321

## Properties
* energy above the lowest structure with this stoichiometry: 0.0000 eV/atom
* space-group type: No. 69
* N(E_F): 5.012 states/eV/cell
* energy: -4.496 eV/atom
* formation enthalpy at 0 K: -537 meV per atom



Entry 14:
# Zr2ScTlO

Crystalline Zr2ScTlO at its relaxed geometry (PBE, the Alexandria database).

Cell: 4.5826 4.5826 4.3751 Å, 90.00 90.00 90.00°
Fractional coordinates of all 5 atoms:
Zr: 0.5000 0.0000 0.0000
O: 0.0000 0.0000 0.0000
Tl: 0.5000 0.5000 0.5000
Zr: 0.0000 0.5000 0.0000
Sc: 0.0000 0.0000 0.5000

## Properties
* energy above the lowest structure with this stoichiometry: 0.0000 eV/atom
* space-group type: No. 123
* N(E_F): 5.085 states/eV/cell
* energy: -7.275 eV/atom
* raw formation energy: -1.1242 eV per atom



Entry 15:
# TaAgSn3

Crystalline TaAgSn3 at its relaxed geometry (PBE, the Alexandria database).

Cell: 5.3855 5.3855 5.3855 Å, 90.00 90.00 90.00°
Fractional coordinates of all 5 atoms:
Sn: 0.5000 0.0000 0.0000
Ag: 0.5000 0.5000 0.5000
Sn: 0.0000 0.0000 0.5000
Sn: 0.0000 0.5000 0.0000
Ta: 0.0000 0.0000 0.0000

## Properties
* energy above the lowest structure with this stoichiometry: 0.0000 eV/atom
* space-group type: No. 221
* N(E_F): 2.212 states/eV/cell
* energy: -4.786 eV/atom
* formation enthalpy at 0 K: 557 meV per atom



Entry 16:
# Mg9Si5

Crystalline Mg9Si5 at its relaxed geometry (PBE, the Alexandria database).

Cell: 7.1904 7.1829 12.6316 Å, 95.49 90.34 120.00°
Fractional coordinates of all 28 atoms:
Mg: 0.5443 0.3865 0.0232
Mg: 0.9115 0.2000 0.3574
Mg: 0.8003 0.7726 0.8529
Mg: 0.8113 0.1452 0.0267
Mg: 0.5683 0.4022 0.6749
Mg: 0.7702 0.8450 0.5452
Mg: 0.2356 0.5059 0.1954
Si: 0.1594 0.1067 0.2093
Mg: 0.4756 0.0175 0.1956
Si: 0.4690 0.7305 0.0292
Mg: 0.1498 0.8861 0.6648
Si: 0.1870 0.1630 0.5031
Mg: 0.1963 0.3851 0.8786
Mg: 0.2761 0.5777 0.5084
Si: 0.7792 0.3452 0.8529
Si: 0.1312 0.0597 0.0106
Mg: 0.9944 0.3263 0.6592
Si: 0.5186 0.8041 0.3583
Mg: 0.7539 0.7801 0.1902
Mg: 0.5290 0.1009 0.5016
Si: 0.8647 0.5161 0.5129
Si: 0.8195 0.4316 0.1941
Mg: 0.5245 0.4146 0.3557
Mg: 0.0916 0.7972 0.3589
Mg: 0.3769 0.9482 0.8840
Mg: 0.0479 0.6576 0.0315
Si: 0.6025 0.0382 0.7057
Si: 0.4114 0.6565 0.7201

## Properties
* energy above the lowest structure with this stoichiometry: 0.0680 eV/atom
* space-group type: No. 1
* N(E_F): 4.757 states/eV/cell
* energy: -3.007 eV/atom
* raw formation energy: -0.0454 eV per atom



Entry 17:
# Li5CuRh2

Crystalline Li5CuRh2 at its relaxed geometry (PBE, the Alexandria database).

Cell: 2.6881 5.2789 15.3773 Å, 90.00 90.00 90.00°
Fractional coordinates of all 16 atoms:
Rh: 0.5000 0.7447 0.8787
Li: 0.0000 0.5040 0.7494
Li: 0.5000 0.7471 0.1180
Li: 0.5000 0.7529 0.6180
Li: 0.0000 0.0040 0.7506
Rh: 0.5000 0.2447 0.6213
Li: 0.0000 0.5000 0.5000
Li: 0.5000 0.2471 0.3820
Rh: 0.5000 0.2553 0.1213
Cu: 0.0000 0.5000 0.0000
Li: 0.0000 0.4960 0.2506
Li: 0.0000 0.0000 0.0000
Rh: 0.5000 0.7553 0.3787
Li: 0.5000 0.2529 0.8820
Li: 0.0000 0.9960 0.2494
Cu: 0.0000 0.0000 0.5000

## Properties
* space-group type: No. 55
* N(E_F): 8.921 states/eV/cell
* energy: -3.648 eV/atom
* formation enthalpy at 0 K: -102 meV per atom



Entry 18:
# Th3Cd2Ag4

Crystalline Th3Cd2Ag4 at its relaxed geometry (PBE, the Alexandria database).

Cell: 4.9859 6.0073 9.2556 Å, 118.30 90.00 114.52°
Fractional coordinates of all 9 atoms:
Ag: 0.7224 0.4447 0.0550
Ag: 0.0597 0.1195 0.3936
Ag: 0.2776 0.5553 0.9450
Cd: 0.6177 0.2353 0.2836
Th: 0.0000 0.0000 0.0000
Cd: 0.3823 0.7647 0.7164
Th: 0.6635 0.3269 0.6717
Th: 0.3365 0.6731 0.3283
Ag: 0.9403 0.8805 0.6064

## Properties
* space-group type: No. 12
* N(E_F): 7.151 states/eV/cell
* energy: -4.107 eV/atom
* formation enthalpy at 0 K: -164 meV per atom



Entry 19:
# Tb6PdSe5

Crystalline Tb6PdSe5 at its relaxed geometry (PBE, the Alexandria database).

Cell: 7.1195 7.1195 7.1050 Å, 99.70 99.70 119.99°
Fractional coordinates of all 12 atoms:
Se: 0.8277 0.1723 0.5000
Tb: 0.2447 0.2447 0.7516
Se: 0.6650 0.3350 0.0000
Pd: 0.0000 0.0000 0.0000
Tb: 0.4073 0.0790 0.2429
Tb: 0.0790 0.4073 0.2429
Se: 0.3350 0.6650 0.0000
Tb: 0.7553 0.7553 0.2484
Tb: 0.9210 0.5927 0.7571
Se: 0.5000 0.5000 0.5000
Se: 0.1723 0.8277 0.5000
Tb: 0.5927 0.9210 0.7571

## Properties
* space-group type: No. 12
* N(E_F): 4.238 states/eV/cell
* energy: -5.836 eV/atom
* raw formation energy: -1.6361 eV per atom



Entry 20:
# K4Pa3CrN8

Crystalline K4Pa3CrN8 at its relaxed geometry (PBE, the Alexandria database).

Cell: 6.9169 7.5519 6.9172 Å, 117.26 120.00 90.00°
Fractional coordinates of all 16 atoms:
Pa: 0.5000 0.5000 0.5000
K: 0.5000 0.0000 0.5000
N: 0.7880 0.3387 0.5760
N: 0.2765 0.3295 0.5530
Pa: 0.0000 0.5000 0.5000
N: 0.2120 0.6613 0.4240
K: 0.0000 0.0000 0.5000
N: 0.7881 0.3388 0.0506
K: 0.0000 0.0000 0.0000
N: 0.2625 0.3388 0.0506
N: 0.7375 0.6612 0.9494
N: 0.2119 0.6612 0.9494
Pa: 0.5000 0.5000 0.0000
Cr: 0.0000 0.5000 0.0000
K: 0.5000 0.0000 0.0000
N: 0.7235 0.6705 0.4470

## Properties
* space-group type: No. 166
* N(E_F): 3.389 states/eV/cell
* energy: -7.626 eV/atom
* raw formation energy: -0.8073 eV per atom